(1)
Here is CdInPd4 after structural relaxation from Alexandria. Energies are from GGA-PBE.

Output
space group: C2/m, No. 12
calculated total energy: -4.1847 eV/atom
N(E_F): 0.3216 states/eV/atom
energy relative to the elements: -0.114 eV/atom

abc: 4.3949 4.3961 6.1897
angles: 89.92 89.96 90.00
Last column: nearest neighbours and their distance in Å.
Element x y z (fractional)
Pd: 0.5011 0.9977 0.7519  2 In 2.68, 2 Cd 2.70
Pd: 0.0011 0.4977 0.2445  2 In 2.67, 2 Cd 2.70
Pd: 0.0015 0.4970 0.7517  2 In 2.67-2.68, 2 Cd 2.70
In: 0.5013 0.4972 0.9982  8 Pd 2.67-2.68
Cd: 0.0013 0.9973 0.4982  8 Pd 2.70
Pd: 0.5015 0.9969 0.2444  2 In 2.67, 2 Cd 2.70

(2)
Here is Al2SbRh after structural relaxation from Alexandria. Energies are from GGA-PBE.

Output
energy relative to the elements, uncorrected: -245 meV per atom
space group: P4mm, No. 99
calculated total energy: -4.9852 eV/atom
N(E_F): 0.4622 states/eV/atom

abc: 3.0690 3.0691 7.6451
angles: 90.00 90.00 90.00
Last column: nearest neighbours and their distance in Å.
Element x y z (fractional)
Al: 0.0000 0.0000 0.0413  8 Al 2.84-3.07
Rh: 0.0000 0.0000 0.4646  4 Al 2.59, 4 Sb 2.89
Sb: 0.5000 0.5000 0.7134  4 Rh 2.89, 4 Sb 3.07
Al: 0.5000 0.5000 0.2807  4 Rh 2.59, 4 Al 2.84

(3)
Here is Pm3NpRh8 after structural relaxation from Alexandria. Energies are from GGA-PBE.

Output
space group: R3m, No. 160
calculated total energy: -7.7430 eV/atom
N(E_F): 1.2303 states/eV/atom
energy relative to the elements: -0.576 eV/atom

abc: 5.3785 5.3785 9.3171
angles: 73.22 73.22 60.00
Last column: nearest neighbours and their distance in Å.
Element x y z (fractional)
Rh: 0.1876 0.1876 0.4371  6 Rh 2.66-2.67
Rh: 0.4410 0.9374 0.6841  6 Rh 2.67-2.71
Pm: 0.3749 0.3749 0.8752  12 Rh 3.15-3.18, 4 Pm 3.30-3.31
Rh: 0.4370 0.4370 0.1911  6 Rh 2.66-2.71
Pm: 0.5004 0.5004 0.4988  12 Rh 3.11-3.15, 3 Np 3.29, 1 Pm 3.31
Rh: 0.4370 0.9349 0.1911  6 Rh 2.66-2.71
Rh: 0.9349 0.4370 0.1911  6 Rh 2.66-2.71
Rh: 0.9374 0.9374 0.6841  6 Rh 2.67-2.71
Np: 0.8753 0.8753 0.3741  12 Rh 3.13-3.15, 4 Pm 3.27-3.29
Rh: 0.6875 0.6875 0.9375  6 Rh 2.71
Rh: 0.9374 0.4410 0.6841  6 Rh 2.67-2.71
Pm: 0.9994 0.9994 0.0016  12 Rh 3.16-3.20, 1 Np 3.27, 3 Pm 3.30

(4)
Here is Sr2HfV after structural relaxation from Alexandria. Energies are from GGA-PBE.

Output
space group: I-42d, No. 122
calculated total energy: -4.3870 eV/atom
N(E_F): 1.5989 states/eV/atom
energy relative to the elements: 1.222 eV/atom

abc: 8.9890 8.9890 7.0838
angles: 50.62 50.62 90.00
Last column: nearest neighbours and their distance in Å.
Element x y z (fractional)
Hf: 0.0000 0.0000 0.0000  2 V 3.13, 4 Sr 3.49
V: 0.5000 0.5000 0.0000  4 Sr 3.07, 2 Hf 3.13
V: 0.2500 0.7500 0.5000  4 Sr 3.07, 2 Hf 3.13
Sr: 0.1589 0.6250 0.2500  2 V 3.07, 2 Sr 3.19
Sr: 0.5911 0.1250 0.2500  2 V 3.07, 2 Sr 3.19
Hf: 0.7500 0.2500 0.5000  2 V 3.13, 4 Sr 3.49
Sr: 0.3750 0.4089 0.7500  2 V 3.07, 2 Sr 3.19
Sr: 0.8750 0.8411 0.7500  2 V 3.07, 2 Sr 3.19

(5)
Here is SmTmMgCd after structural relaxation from Alexandria. Energies are from GGA-PBE.

Output
space group: F-43m, No. 216
calculated total energy: -3.1202 eV/atom
N(E_F): 1.0820 states/eV/atom
energy relative to the elements: -0.195 eV/atom

abc: 5.3385 5.3385 5.3385
angles: 60.00 60.00 60.00
Last column: nearest neighbours and their distance in Å.
Element x y z (fractional)
Cd: 0.7500 0.7500 0.7500  4 Tm 3.27, 4 Sm 3.27
Mg: 0.2500 0.2500 0.2500  4 Tm 3.27, 4 Sm 3.27
Sm: 0.0000 0.0000 0.0000  4 Cd 3.27, 4 Mg 3.27
Tm: 0.5000 0.5000 0.5000  4 Cd 3.27, 4 Mg 3.27

(6)
Here is CrSb2H after structural relaxation from Alexandria. Energies are from GGA-PBE.

Output
space group: Fm-3m, No. 225
calculated total energy: -4.7659 eV/atom
N(E_F): 0.7372 states/eV/atom

abc: 4.6604 4.6604 4.6604
angles: 60.00 60.00 60.00
Last column: nearest neighbours and their distance in Å.
Element x y z (fractional)
H: 0.0000 0.0000 0.0000  8 Sb 2.85
Sb: 0.2500 0.2500 0.2500  4 Cr 2.85, 4 H 2.85
Sb: 0.7500 0.7500 0.7500  4 Cr 2.85, 4 H 2.85
Cr: 0.5000 0.5000 0.5000  8 Sb 2.85

(7)
Here is Li4HoTh after structural relaxation from Alexandria. Energies are from GGA-PBE.

Output
space group: F-43m, No. 216
calculated total energy: -3.0821 eV/atom
N(E_F): 1.0228 states/eV/atom
energy relative to the elements: 0.193 eV/atom

abc: 5.8101 5.8101 5.8101
angles: 60.00 60.00 60.00
Last column: nearest neighbours and their distance in Å.
Element x y z (fractional)
Th: 0.0000 0.0000 0.0000  12 Li 3.41, 4 Ho 3.56
Li: 0.6247 0.6247 0.1258  6 Li 2.90-2.91
Li: 0.6247 0.1258 0.6247  6 Li 2.90-2.91
Li: 0.1258 0.6247 0.6247  6 Li 2.90-2.91
Li: 0.6247 0.6247 0.6247  6 Li 2.90-2.91
Ho: 0.2500 0.2500 0.2500  12 Li 3.41, 4 Th 3.56

(8)
Here is LaMnW2 after structural relaxation from Alexandria. Energies are from GGA-PBE.

Output
space group: Immm, No. 71
calculated total energy: -9.3027 eV/atom
N(E_F): 1.2440 states/eV/atom
energy relative to the elements: 0.698 eV/atom

abc: 6.0219 6.0219 6.0220
angles: 152.70 132.15 55.96
Last column: nearest neighbours and their distance in Å.
Element x y z (fractional)
W: 0.9572 0.9572 0.0000  2 Mn 2.62, 2 W 2.84
Mn: 0.7500 0.2500 0.5000  4 W 2.62, 4 La 2.83, 2 Mn 2.84
La: 0.2500 0.7500 0.5000  4 Mn 2.83, 2 La 2.84
W: 0.5428 0.5428 0.0000  2 Mn 2.62, 2 W 2.84